Density functional theory data (PBE-GGA) for a relaxed AlSb2W crystal.

a = 4.7790 Å, b = 4.7790 Å, c = 3.4707 Å
α = 90.00°, β = 90.00°, γ = 90.00°
Space group P4/mmm (No. 123)
Symmetry-distinct sites (fractional):
Al (0.0000, 0.0000, 0.0000)
Sb (0.0000, 0.5000, 0.5000)
W (0.5000, 0.5000, 0.0000)

The calculation puts the energy relative to the elements, uncorrected at 0.655 eV/atom. The final energy is -22.32 eV for the cell shown. Its spin magnetization is 0.0 Bohr magnetons per cell.